(1)
# TlHgSb

TlHgSb at its PBEsol-relaxed geometry (meta-GGA SCAN, Alexandria).

Unit cell a=5.615 b=5.615 c=5.615 alpha=146.61 beta=124.51 gamma=66.32
Atoms (fractional coordinates):
Tl 0.000 0.000 0.000
Hg 0.330 0.330 0.000
Sb 0.657 0.657 0.000

Properties
- M_tot (μB per formula unit) = 0.00
- E (eV for the cell shown) = -177.497
- formation energy (no corrections) (eV per atom) = 0.096



(2)
# KLi2Be

KLi2Be at its PBEsol-relaxed geometry (meta-GGA SCAN, Alexandria).

Unit cell a=8.481 b=8.481 c=8.481 alpha=158.40 beta=152.90 gamma=34.91
Atoms (fractional coordinates):
K 0.000 0.000 0.000
Li 0.314 0.814 0.500
Li 0.687 0.687 0.000
Be 0.816 0.316 0.500

Properties
- M_tot (μB per formula unit) = 0.03
- E (eV for the cell shown) = -15.563
- energy relative to the elements (eV/f.u.) = 1.9



(3)
# Al3CoW9C3

Al3CoW9C3 at its PBEsol-relaxed geometry (meta-GGA SCAN, Alexandria).

Unit cell a=7.873 b=7.873 c=7.787 alpha=90.00 beta=90.00 gamma=120.00
Atoms (fractional coordinates):
Al 0.110 0.220 0.250
Al 0.110 0.890 0.250
Al 0.220 0.110 0.750
Al 0.780 0.890 0.250
Al 0.890 0.110 0.750
Al 0.890 0.780 0.750
Co 0.000 0.000 0.000
Co 0.000 0.000 0.500
W 0.103 0.551 0.250
W 0.204 0.408 0.570
W 0.204 0.408 0.930
W 0.204 0.796 0.570
W 0.204 0.796 0.930
W 0.408 0.204 0.070
W 0.408 0.204 0.430
W 0.449 0.551 0.250
W 0.449 0.897 0.250
W 0.551 0.103 0.750
W 0.551 0.449 0.750
W 0.592 0.796 0.570
W 0.592 0.796 0.930
W 0.796 0.204 0.070
W 0.796 0.204 0.430
W 0.796 0.592 0.070
W 0.796 0.592 0.430
W 0.897 0.449 0.750
C 0.000 0.500 0.000
C 0.000 0.500 0.500
C 0.500 0.000 0.000
C 0.500 0.000 0.500
C 0.500 0.500 0.000
C 0.500 0.500 0.500

Properties
- M_tot (μB per formula unit) = 0.00
- E (eV for the cell shown) = -1397.435
- energy relative to the elements (eV/f.u.) = -0.7



(4)
# ZnBi12O20

ZnBi12O20 at its PBEsol-relaxed geometry (meta-GGA SCAN, Alexandria).

Unit cell a=8.652 b=8.652 c=8.652 alpha=109.47 beta=109.47 gamma=109.47
Atoms (fractional coordinates):
Zn 0.000 0.000 0.000
Bi 0.145 0.824 0.312
Bi 0.167 0.679 0.855
Bi 0.176 0.321 0.488
Bi 0.312 0.145 0.824
Bi 0.321 0.488 0.176
Bi 0.488 0.176 0.321
Bi 0.512 0.833 0.688
Bi 0.679 0.855 0.167
Bi 0.688 0.512 0.833
Bi 0.824 0.312 0.145
Bi 0.833 0.688 0.512
Bi 0.855 0.167 0.679
O 0.000 0.000 0.230
O 0.000 0.000 0.623
O 0.000 0.230 0.000
O 0.000 0.623 0.000
O 0.125 0.381 0.768
O 0.230 0.000 0.000
O 0.232 0.613 0.357
O 0.256 0.875 0.643
O 0.357 0.232 0.613
O 0.377 0.377 0.377
O 0.381 0.768 0.125
O 0.387 0.619 0.744
O 0.613 0.357 0.232
O 0.619 0.744 0.387
O 0.623 0.000 0.000
O 0.643 0.256 0.875
O 0.744 0.387 0.619
O 0.768 0.125 0.381
O 0.770 0.770 0.770
O 0.875 0.643 0.256

Properties
- M_tot (μB per formula unit) = 0.00
- E (eV for the cell shown) = -1116.804
- formation energy (no corrections) (eV per atom) = -1.082